Version i
Computed, not measured: crystalline CaPtS2 at its relaxed geometry at the PBE level of DFT.

mass density: 5.25 g/cm3
Fermi-level density of states: 3.32 states/eV/cell

abc: 8.1659 8.1659 8.1659
angles: 26.36 26.36 26.36
Atoms (fractional coordinates):
S (0.1163, 0.1163, 0.1163)
S (0.8837, 0.8837, 0.8837)
Pt (0.5000, 0.5000, 0.5000)
Ca (0.0000, 0.0000, 0.0000)

---

Version ii
Computed, not measured: crystalline CaPtS2 at its relaxed geometry at the PBE level of DFT.

mass density: 5.22 g/cm3
Fermi-level density of states: 0.25 states/eV/cell

abc: 5.2539 5.2539 7.8360
angles: 70.41 70.41 90.00
Atoms (fractional coordinates):
Ca (0.5000, 0.5000, 0.0000)
Ca (0.2500, 0.7500, 0.5000)
Pt (0.0000, 0.0000, 0.0000)
Pt (0.7500, 0.2500, 0.5000)
S (0.3750, 0.3069, 0.7500)
S (0.8750, 0.9431, 0.7500)
S (0.6931, 0.1250, 0.2500)
S (0.0569, 0.6250, 0.2500)

---

Version iii
Computed, not measured: crystalline CaPtS2 at its relaxed geometry at the PBE level of DFT.

mass density: 6.86 g/cm3
Fermi-level density of states: 3.44 states/eV/cell

abc: 4.6799 4.6799 4.6799
angles: 60.00 60.00 60.00
Site moments in Bohr magnetons follow the coordinates.
Atoms (fractional coordinates):
Ca (0.0000, 0.0000, 0.0000)  0.04
S (0.7500, 0.7500, 0.7500)  0.27
S (0.2500, 0.2500, 0.2500)  0.27
Pt (0.5000, 0.5000, 0.5000)  0.74

---

Version iv
Computed, not measured: crystalline CaPtS2 at its relaxed geometry at the PBE level of DFT.

mass density: 4.35 g/cm3
Fermi-level density of states: 1.67 states/eV/cell

abc: 6.1921 6.1921 6.1921
angles: 46.57 46.57 46.57
Atoms (fractional coordinates):
Pt (0.0000, 0.0000, 0.0000)
Ca (0.5000, 0.5000, 0.5000)
S (0.1315, 0.1315, 0.1315)
S (0.8685, 0.8685, 0.8685)

---

Name the least stable of them. version i.

---

Version i
Computed, not measured: crystalline CaPtS3 at its relaxed geometry at the PBE level of DFT.

mass density: 5.07 g/cm3
Fermi-level density of states: 8.07 states/eV/cell

abc: 4.7684 4.7684 4.7684
angles: 90.00 90.00 90.00
Atoms (fractional coordinates):
Ca (0.5000, 0.5000, 0.5000)
Pt (0.0000, 0.0000, 0.0000)
S (0.5000, 0.0000, 0.0000)
S (0.0000, 0.5000, 0.0000)
S (0.0000, 0.0000, 0.5000)

---

Version ii
Computed, not measured: crystalline CaPtS3 at its relaxed geometry at the PBE level of DFT.

mass density: 4.03 g/cm3
Fermi-level density of states: 7.45 states/eV/cell

abc: 5.1472 5.1472 5.1472
angles: 90.00 90.00 90.00
Site moments in Bohr magnetons follow the coordinates.
Atoms (fractional coordinates):
S (0.0000, 0.0000, 0.5000)  0.59
S (0.0000, 0.5000, 0.0000)  0.63
S (0.5000, 0.0000, 0.0000)  0.50
Pt (0.5000, 0.5000, 0.5000)  0.84
Ca (0.0000, 0.0000, 0.0000)  0.00

---

Name the least stable of them. version ii.